The following is a PBE-GGA calculation of GeBiTe3 after structural relaxation, from Alexandria.

The structure in POSCAR format:
```
GeBiTe3
1.0
-1.271 2.787 5.007
-5.493 0.867 -1.877
-1.631 -5.093 2.420
Ge Te Bi
1 3 1
Cartesian
-4.198 -0.719 2.775
-0.636 1.393 2.504
-2.747 0.434 -0.939
-0.816 -2.546 1.210
0.000 0.000 0.000
```

For the density of states at the Fermi level, the calculation gives 0.613 states/eV per atom. The value obtained for the total magnetization is 0.00 μB/f.u. Its raw formation energy is 733 meV/atom. Its energy above the most stable polymorph in this dataset is 4.201 eV per formula unit.



The following is a PBE-GGA calculation of Ge2BiTe after structural relaxation, from Alexandria.

The structure in POSCAR format:
```
Ge2BiTe
1.0
3.225 -3.456 -2.232
-0.017 -4.985 1.574
-1.918 -3.722 -3.129
Bi Te Ge
1 1 2
Cartesian
0.645 -6.082 -1.893
0.000 0.000 0.000
0.968 -9.122 -2.840
0.323 -3.041 -0.947
```

For the density of states at the Fermi level, the calculation gives 0.735 states/eV per atom. The value obtained for the total magnetization is 0.00 μB/f.u. Its raw formation energy is 294 meV/atom. Its energy above the most stable polymorph in this dataset is 0.074 eV per formula unit.



The following is a PBE-GGA calculation of Ge3Bi5Te12 after structural relaxation, from Alexandria.

The structure in POSCAR format:
```
Ge3Bi5Te12
1.0
-10.713 3.359 -11.076
5.712 -14.497 -2.437
-6.766 0.661 14.231
Bi Te Ge
20 48 12
Cartesian
0.000 0.000 0.000
-5.883 -5.238 0.359
-7.002 -6.293 -4.493
-10.878 -5.625 -0.541
-3.389 -10.420 -5.496
1.474 -11.762 -3.122
-8.332 -8.195 3.702
-8.740 2.010 1.578
-5.357 1.680 -5.538
-3.383 0.331 7.115
-13.241 1.286 3.841
-0.527 -6.918 5.897
-2.501 -5.569 -6.756
-4.765 -4.183 5.212
-8.378 -0.056 6.215
-12.175 -0.272 -1.406
2.856 -7.248 -1.218
-0.888 -4.851 1.260
-3.435 -2.282 -2.984
0.408 -10.205 2.125
-6.425 -3.416 2.843
-8.188 -3.545 -4.497
-1.530 -1.991 1.864
0.309 -5.445 -1.419
-6.121 -9.139 5.485
-2.871 -1.879 4.962
-15.170 2.380 1.830
-3.579 -6.931 5.215
-7.411 0.454 -7.552
-8.061 1.428 -3.986
0.772 -8.861 -2.903
-1.933 -9.798 0.305
-12.075 -5.031 2.137
3.403 -12.856 -1.111
-9.850 -1.879 -7.421
-3.874 -5.337 10.146
-5.366 -11.233 0.796
-5.646 -1.338 -4.766
-5.342 -7.061 -2.124
-10.635 -0.757 -3.926
-6.184 -4.507 7.827
1.876 -12.803 1.901
-9.715 -5.654 4.471
-3.706 -11.904 4.705
-6.227 -0.233 8.289
-7.534 -0.266 3.351
-13.643 2.327 -1.182
-6.662 -8.143 1.219
-5.540 -10.244 -7.570
-10.332 -2.319 6.079
-1.132 -9.719 4.645
-12.539 -1.615 3.622
-7.703 0.027 11.315
-4.355 -10.930 8.271
-5.105 -2.334 -0.500
-8.571 -3.747 -0.219
-8.896 -8.597 -4.243
-4.233 -10.210 -2.632
-1.435 -8.157 -5.360
-2.052 -4.822 -3.752
-10.236 -8.486 -1.145
-4.064 -10.504 -10.597
-1.917 -8.597 8.139
-3.196 -6.730 0.938
-5.582 -5.970 -7.108
-6.401 0.757 -0.077
-7.893 -5.140 -9.427
-9.834 -0.679 0.414
-3.962 -9.200 2.914
-1.415 -11.769 7.157
-2.139 -7.636 -2.118
-9.628 -2.841 2.837
-7.805 -1.277 -2.195
-5.028 -7.642 8.160
-10.352 1.292 -6.438
-6.739 -2.834 -7.442
-7.265 -9.752 -1.544
-5.936 -7.851 -9.740
-5.831 -2.626 10.458
-4.501 -0.724 2.263
```

For the density of states at the Fermi level, the calculation gives 0.656 states/eV per atom. The value obtained for the total magnetization is 0.00 μB/f.u. Its raw formation energy is 106 meV/atom.



The following is a PBE-GGA calculation of Ge2BiTe2 after structural relaxation, from Alexandria.

The structure in POSCAR format:
```
Ge2BiTe2
1.0
-5.001 1.325 -2.359
-2.139 -4.973 1.740
-4.838 0.025 3.416
Ge Te Bi
2 2 1
Cartesian
-3.956 -1.260 0.826
-8.021 -2.363 1.970
-6.704 -0.237 0.373
-5.273 -3.386 2.423
0.000 0.000 0.000
```

For the density of states at the Fermi level, the calculation gives 0.581 states/eV per atom. The value obtained for the total magnetization is 0.00 μB/f.u. Its raw formation energy is 170 meV/atom. Its energy above the most stable polymorph in this dataset is 0.126 eV per formula unit.



- What is the formula in the first record?
  GeBiTe3